Material: Rb3Ge5F12
Method: DFT, GGA-PBE
State: optimized geometry

Lattice parameters (Å, degrees): 14.7454 14.7454 14.7454 90.00 90.00 90.00
Closest atoms and distances in Å follow each position.
Space group Ia-3d (No. 230)
One atom of each set of equivalent atoms:
Rb 0.0000 0.2500 0.1250 x24  8 F 2.85-3.06
Ge 0.0000 0.0000 0.0000 x16  6 F 2.29
Ge 0.0000 0.2500 0.3750 x24  4 F 2.18
F 0.0310 0.0459 0.6454 x96  2 Ge 2.18-2.29

Computed properties:
formation energy (no corrections): -2.05 eV per atom
density of states at the Fermi level: 54.76 states/eV per cell
V: 20.04 A^3/atom
electronic total energy: -4.477 eV per atom